# 1
{"formula": "Ba3TbHf2O9", "functional": "GGA-PBE", "state": "relaxed", "lattice": [[6.072, 0.000, 0.000], [-3.036, 5.259, 0.000], [0.000, 0.000, 7.455]], "species": ["Ba", "Ba", "Ba", "Tb", "Hf", "Hf", "O", "O", "O", "O", "O", "O", "O", "O", "O"], "fractional_positions": [[0.333, 0.667, 0.666], [0.000, 0.000, 0.000], [0.667, 0.333, 0.334], [0.000, 0.000, 0.500], [0.333, 0.667, 0.162], [0.667, 0.333, 0.838], [0.826, 0.174, 0.678], [0.826, 0.653, 0.678], [0.347, 0.174, 0.678], [0.653, 0.826, 0.322], [0.174, 0.347, 0.322], [0.174, 0.826, 0.322], [0.500, 0.000, 0.000], [0.000, 0.500, 0.000], [0.500, 0.500, 0.000]], "total_energy_ev_per_atom": -8.147, "volume_a3_per_cell": 238.0, "total_magnetization_mub_per_cell": 0.59, "dos_ef_per_ev_cell": 11.60, "spacegroup": "P-3m1", "e_form_raw_mev_per_atom": -3151}



# 2
{"formula": "LaScNi2", "functional": "GGA-PBE", "state": "relaxed", "lattice": [[1.844, 0.727, 4.344], [-1.764, 3.445, 2.796], [-2.527, -1.140, 3.887]], "species": ["Sc", "Ni", "Ni", "La"], "fractional_positions": [[0.000, 0.000, 0.000], [0.250, 0.250, 0.250], [0.750, 0.750, 0.750], [0.500, 0.500, 0.500]], "total_energy_ev_per_atom": -5.981, "volume_a3_per_cell": 77.0, "total_magnetization_mub_per_cell": 0.00, "dos_ef_per_ev_cell": 3.63, "formation_energy_ev_per_atom": -0.28, "spacegroup": "Fm-3m"}



# 3
{"formula": "Mg3Sc2Cd4", "functional": "GGA-PBE", "state": "relaxed", "lattice": [[-6.005, 0.097, 0.192], [0.245, -0.398, 7.869], [3.155, 8.559, 0.335]], "species": ["Mg", "Mg", "Mg", "Mg", "Mg", "Mg", "Sc", "Sc", "Sc", "Sc", "Cd", "Cd", "Cd", "Cd", "Cd", "Cd", "Cd", "Cd"], "fractional_positions": [[0.000, 0.000, 0.000], [0.500, 0.500, 0.000], [0.508, 0.750, 0.516], [0.992, 0.250, 0.484], [0.492, 0.250, 0.484], [0.008, 0.750, 0.516], [0.090, 0.609, 0.180], [0.910, 0.391, 0.820], [0.410, 0.109, 0.820], [0.590, 0.891, 0.180], [0.679, 0.750, 0.858], [0.821, 0.250, 0.142], [0.321, 0.250, 0.142], [0.179, 0.750, 0.858], [0.162, 0.973, 0.323], [0.838, 0.027, 0.677], [0.338, 0.473, 0.677], [0.662, 0.527, 0.323]], "total_energy_ev_per_atom": -2.440, "volume_a3_per_cell": 408.3, "total_magnetization_mub_per_cell": 0.00, "dos_ef_per_ev_cell": 12.86, "formation_energy_ev_per_atom": -0.10, "spacegroup": "Cmce"}



# 4
{"formula": "Rb2SrRhO4", "functional": "GGA-PBE", "state": "relaxed", "lattice": [[6.492, 0.000, 0.000], [3.246, 7.029, 0.000], [3.246, 0.000, 11.927]], "species": ["Rb", "Rb", "Rb", "Rb", "Sr", "Sr", "Rh", "Rh", "O", "O", "O", "O", "O", "O", "O", "O"], "fractional_positions": [[0.197, 0.000, 0.606], [0.803, 0.000, 0.394], [0.553, 0.500, 0.894], [0.947, 0.500, 0.106], [0.750, 0.500, 0.500], [0.000, 0.000, 0.000], [0.250, 0.500, 0.500], [0.500, 0.000, 0.000], [0.379, 0.804, 0.022], [0.205, 0.196, 0.978], [0.817, 0.804, 0.978], [0.599, 0.196, 0.022], [0.371, 0.696, 0.478], [0.545, 0.304, 0.522], [0.933, 0.696, 0.522], [0.151, 0.304, 0.478]], "total_energy_ev_per_atom": -5.042, "volume_a3_per_cell": 544.3, "total_magnetization_mub_per_cell": 6.00, "spacegroup": "Fddd", "e_form_raw_mev_per_atom": -1192}



# 5
{"formula": "CePr3O4", "functional": "GGA-PBE", "state": "relaxed", "lattice": [[-5.802, -0.835, -2.095], [3.932, -3.386, -3.425], [-0.828, -5.500, 4.487]], "species": ["Pr", "Pr", "Pr", "Pr", "Pr", "Pr", "O", "O", "O", "O", "O", "O", "O", "O", "Ce", "Ce"], "fractional_positions": [[0.750, 0.000, 0.373], [0.250, 0.000, 0.627], [0.750, 0.500, 0.625], [0.750, 0.500, 0.125], [0.250, 0.500, 0.375], [0.250, 0.500, 0.875], [0.993, 0.241, 0.631], [0.500, 0.240, 0.879], [0.493, 0.241, 0.369], [0.000, 0.240, 0.121], [0.000, 0.760, 0.879], [0.507, 0.759, 0.631], [0.500, 0.760, 0.121], [0.007, 0.759, 0.369], [0.750, 0.000, 0.874], [0.250, 0.000, 0.126]], "total_energy_ev_per_atom": -7.755, "volume_a3_per_cell": 261.0, "total_magnetization_mub_per_cell": 0.51, "dos_ef_per_ev_cell": 10.50, "spacegroup": "P2/c", "e_form_raw_mev_per_atom": -2742}



# 6
{"formula": "In7Hg3Bi", "functional": "GGA-PBE", "state": "relaxed", "lattice": [[6.389, 0.107, -0.530], [-0.598, 7.018, -0.370], [0.143, -0.155, 7.057]], "species": ["In", "In", "In", "In", "In", "In", "In", "Hg", "Hg", "Hg", "Bi"], "fractional_positions": [[0.177, 0.210, 0.210], [0.293, 0.923, 0.580], [0.707, 0.420, 0.077], [0.293, 0.580, 0.923], [0.000, 0.500, 0.500], [0.707, 0.077, 0.420], [0.823, 0.790, 0.790], [0.000, 0.796, 0.204], [0.500, 0.000, 0.000], [0.000, 0.204, 0.796], [0.500, 0.500, 0.500]], "total_energy_ev_per_atom": -2.137, "volume_a3_per_cell": 317.0, "total_magnetization_mub_per_cell": 0.00, "dos_ef_per_ev_cell": 5.67, "formation_energy_ev_per_atom": 0.04, "spacegroup": "C2/m"}



# 7
{"formula": "Al4Fe", "functional": "GGA-PBE", "state": "relaxed", "lattice": [[-3.574, -3.116, 1.293], [2.971, -2.015, 3.357], [-2.035, 4.103, 4.264]], "species": ["Al", "Al", "Al", "Al", "Al", "Al", "Al", "Al", "Fe", "Fe"], "fractional_positions": [[0.131, 0.243, 0.337], [0.869, 0.757, 0.337], [0.243, 0.869, 0.663], [0.757, 0.131, 0.663], [0.369, 0.743, 0.163], [0.631, 0.257, 0.163], [0.257, 0.369, 0.837], [0.743, 0.631, 0.837], [0.000, 0.000, 0.000], [0.500, 0.500, 0.500]], "total_energy_ev_per_atom": -4.854, "volume_a3_per_cell": 151.1, "total_magnetization_mub_per_cell": 0.00, "dos_ef_per_ev_cell": 2.53, "formation_energy_ev_per_atom": -0.17, "spacegroup": "P-42_1c"}



# 8
{"formula": "LiCr2Os", "functional": "GGA-PBE", "state": "relaxed", "lattice": [[-1.673, -0.671, -2.342], [2.091, -1.853, -0.963], [-2.475, -4.360, 3.016]], "species": ["Cr", "Cr", "Li", "Os"], "fractional_positions": [[0.000, 0.000, 0.995], [0.500, 0.500, 0.248], [0.000, 0.000, 0.501], [0.500, 0.500, 0.756]], "total_energy_ev_per_atom": -7.801, "volume_a3_per_cell": 51.1, "total_magnetization_mub_per_cell": 2.17, "dos_ef_per_ev_cell": 2.48, "formation_energy_ev_per_atom": 0.30, "spacegroup": "P4mm"}



Copy entry 4 word for word.
{"formula": "Rb2SrRhO4", "functional": "GGA-PBE", "state": "relaxed", "lattice": [[6.492, 0.000, 0.000], [3.246, 7.029, 0.000], [3.246, 0.000, 11.927]], "species": ["Rb", "Rb", "Rb", "Rb", "Sr", "Sr", "Rh", "Rh", "O", "O", "O", "O", "O", "O", "O", "O"], "fractional_positions": [[0.197, 0.000, 0.606], [0.803, 0.000, 0.394], [0.553, 0.500, 0.894], [0.947, 0.500, 0.106], [0.750, 0.500, 0.500], [0.000, 0.000, 0.000], [0.250, 0.500, 0.500], [0.500, 0.000, 0.000], [0.379, 0.804, 0.022], [0.205, 0.196, 0.978], [0.817, 0.804, 0.978], [0.599, 0.196, 0.022], [0.371, 0.696, 0.478], [0.545, 0.304, 0.522], [0.933, 0.696, 0.522], [0.151, 0.304, 0.478]], "total_energy_ev_per_atom": -5.042, "volume_a3_per_cell": 544.3, "total_magnetization_mub_per_cell": 6.00, "spacegroup": "Fddd", "e_form_raw_mev_per_atom": -1192}



What did the seventh record say?
{"formula": "Al4Fe", "functional": "GGA-PBE", "state": "relaxed", "lattice": [[-3.574, -3.116, 1.293], [2.971, -2.015, 3.357], [-2.035, 4.103, 4.264]], "species": ["Al", "Al", "Al", "Al", "Al", "Al", "Al", "Al", "Fe", "Fe"], "fractional_positions": [[0.131, 0.243, 0.337], [0.869, 0.757, 0.337], [0.243, 0.869, 0.663], [0.757, 0.131, 0.663], [0.369, 0.743, 0.163], [0.631, 0.257, 0.163], [0.257, 0.369, 0.837], [0.743, 0.631, 0.837], [0.000, 0.000, 0.000], [0.500, 0.500, 0.500]], "total_energy_ev_per_atom": -4.854, "volume_a3_per_cell": 151.1, "total_magnetization_mub_per_cell": 0.00, "dos_ef_per_ev_cell": 2.53, "formation_energy_ev_per_atom": -0.17, "spacegroup": "P-42_1c"}



Copy entry 3 word for word.
{"formula": "Mg3Sc2Cd4", "functional": "GGA-PBE", "state": "relaxed", "lattice": [[-6.005, 0.097, 0.192], [0.245, -0.398, 7.869], [3.155, 8.559, 0.335]], "species": ["Mg", "Mg", "Mg", "Mg", "Mg", "Mg", "Sc", "Sc", "Sc", "Sc", "Cd", "Cd", "Cd", "Cd", "Cd", "Cd", "Cd", "Cd"], "fractional_positions": [[0.000, 0.000, 0.000], [0.500, 0.500, 0.000], [0.508, 0.750, 0.516], [0.992, 0.250, 0.484], [0.492, 0.250, 0.484], [0.008, 0.750, 0.516], [0.090, 0.609, 0.180], [0.910, 0.391, 0.820], [0.410, 0.109, 0.820], [0.590, 0.891, 0.180], [0.679, 0.750, 0.858], [0.821, 0.250, 0.142], [0.321, 0.250, 0.142], [0.179, 0.750, 0.858], [0.162, 0.973, 0.323], [0.838, 0.027, 0.677], [0.338, 0.473, 0.677], [0.662, 0.527, 0.323]], "total_energy_ev_per_atom": -2.440, "volume_a3_per_cell": 408.3, "total_magnetization_mub_per_cell": 0.00, "dos_ef_per_ev_cell": 12.86, "formation_energy_ev_per_atom": -0.10, "spacegroup": "Cmce"}